Entry 1:
## NaGaPb (GGA-PBE)

Data for a relaxed NaGaPb crystal.

abc: 4.7457 15.6907 8.9384
angles: 28.63 74.61 90.00
Last column: nearest neighbours and their distance in Å.
Fractional coordinates of all 9 atoms:
1 Pb 0.2103 0.7103 0.5793  4 Ga 2.85-3.05
2 Pb 0.3057 0.1380 0.3886  4 Ga 2.91-3.06, 3 Na 3.07-3.18
3 Pb 0.3057 0.4734 0.3886  4 Ga 2.91-3.06, 3 Na 3.07-3.18
4 Na 0.5089 0.1688 0.9822  4 Pb 3.07-3.29, 1 Ga 3.35
5 Na 0.5089 0.8491 0.9822  4 Pb 3.07-3.29, 1 Ga 3.35
6 Na 0.0282 0.0282 0.9436  4 Pb 3.28-3.29, 1 Ga 3.28, 4 Na 3.46
7 Ga 0.4888 0.4888 0.0224  4 Pb 2.85-2.94
8 Ga 0.0406 0.3619 0.9188  4 Pb 2.91-3.06
9 Ga 0.0406 0.7193 0.9188  4 Pb 2.91-3.06

Output
ΔE_f, eV/f.u.: 0.08
Total magnetic moment, μB per cell: 0.0
Total DFT energy (no corrections), eV for the cell shown: -23.9
Density of states at the Fermi level, states/eV/cell: 3.48
Symmetry: Imm2 (44)

Entry 2:
## MgZrAg2Pd (GGA-PBE)

Data for a relaxed MgZrAg2Pd crystal.

abc: 5.0396 4.6005 5.0396
angles: 90.00 90.00 90.00
Last column: nearest neighbours and their distance in Å.
Fractional coordinates of all 5 atoms:
1 Zr 0.5000 0.5000 0.5000  8 Ag 3.41, 4 Mg 3.56
2 Mg 0.0000 0.5000 0.0000  2 Pd 2.30
3 Pd 0.0000 0.0000 0.0000  2 Mg 2.30, 4 Ag 2.52
4 Ag 0.0000 0.0000 0.5000  2 Pd 2.52
5 Ag 0.5000 0.0000 0.0000  2 Pd 2.52

Output
ΔE_f, eV/f.u.: 2.73
Total magnetic moment, μB per cell: 1.4
Total DFT energy (no corrections), eV for the cell shown: -18.3
Density of states at the Fermi level, states/eV/cell: 5.27
Symmetry: P4/mmm (123)

Entry 3:
## Tb6NdEr2Th3 (GGA-PBE)

Data for a relaxed Tb6NdEr2Th3 crystal.

abc: 6.1874 6.1874 11.7834
angles: 95.03 95.03 119.99
Last column: nearest neighbours and their distance in Å.
Fractional coordinates of all 12 atoms:
1 Tb 0.9152 0.5811 0.7457  3 Th 3.52, 6 Tb 3.57-3.58, 2 Er 3.60, 1 Nd 3.60
2 Tb 0.7506 0.7506 0.2541  3 Th 3.52, 6 Tb 3.57-3.58, 2 Er 3.60, 1 Nd 3.60
3 Tb 0.0848 0.4189 0.2543  3 Th 3.52, 6 Tb 3.57-3.58, 2 Er 3.60, 1 Nd 3.60
4 Tb 0.5811 0.9152 0.7457  3 Th 3.52, 6 Tb 3.57-3.58, 2 Er 3.60, 1 Nd 3.60
5 Tb 0.2494 0.2494 0.7459  3 Th 3.52, 6 Tb 3.57-3.58, 2 Er 3.60, 1 Nd 3.60
6 Tb 0.4189 0.0848 0.2543  3 Th 3.52, 6 Tb 3.57-3.58, 2 Er 3.60, 1 Nd 3.60
7 Nd 0.0000 0.0000 0.0000  6 Er 3.57, 6 Tb 3.60
8 Er 0.3332 0.6668 0.0000  3 Nd 3.57, 3 Er 3.57-3.58, 6 Tb 3.60
9 Er 0.6668 0.3332 0.0000  3 Nd 3.57, 3 Er 3.57-3.58, 6 Tb 3.60
10 Th 0.1663 0.8337 0.5000  6 Tb 3.52, 6 Th 3.56-3.58
11 Th 0.8337 0.1663 0.5000  6 Tb 3.52, 6 Th 3.56-3.58
12 Th 0.5000 0.5000 0.5000  6 Tb 3.52, 6 Th 3.57-3.58

Output
ΔE_f, eV/f.u.: 0.28
Total magnetic moment, μB per cell: 0.0
Total DFT energy (no corrections), eV for the cell shown: -63.7
Density of states at the Fermi level, states/eV/cell: 17.84
Symmetry: C2/m (12)

Entry 4:
## P2PbSeO8 (GGA-PBE)

Data for a relaxed P2PbSeO8 crystal.

abc: 4.8680 4.8680 7.6995
angles: 87.32 87.32 66.09
Last column: nearest neighbours and their distance in Å.
Fractional coordinates of all 12 atoms:
1 P 0.6364 0.6364 0.2152  4 O 1.52-1.58
2 P 0.3636 0.3636 0.7848  4 O 1.52-1.58
3 Pb 0.0000 0.0000 0.5000  6 O 2.60-2.68
4 Se 0.0000 0.0000 0.0000  6 O 1.98-2.09
5 O 0.7168 0.2347 0.7994  1 P 1.58
6 O 0.7604 0.7604 0.0553  1 P 1.55
7 O 0.7031 0.7031 0.3956  1 P 1.52
8 O 0.2969 0.2969 0.6044  1 P 1.52
9 O 0.2396 0.2396 0.9447  1 P 1.55
10 O 0.2347 0.7168 0.7994  1 P 1.58
11 O 0.7653 0.2832 0.2006  1 P 1.58
12 O 0.2832 0.7653 0.2006  1 P 1.58

Output
ΔE_f (raw), meV per atom: -1601.9
Total magnetic moment, μB per cell: 0.0
Total DFT energy (no corrections), eV for the cell shown: -76.9
Density of states at the Fermi level, states/eV/cell: 0.00
Symmetry: C2/m (12)

Entry 5:
## FeTc2Au (GGA-PBE)

Data for a relaxed FeTc2Au crystal.

abc: 2.7781 3.8291 5.5915
angles: 90.00 90.00 90.00
Last column: nearest neighbours and their distance in Å.
Fractional coordinates of all 4 atoms:
1 Au 0.0000 0.0000 0.5097  6 Tc 2.77-2.87, 4 Fe 2.77, 2 Au 2.78
2 Fe 0.5000 0.5000 0.7679  5 Tc 2.52-2.71, 4 Au 2.77, 2 Fe 2.78
3 Tc 0.0000 0.0000 0.0045  6 Tc 2.65-2.78, 4 Fe 2.71, 2 Au 2.77-2.82
4 Tc 0.5000 0.5000 0.2179  1 Fe 2.52, 6 Tc 2.65-2.78

Output
ΔE_f, eV/f.u.: 0.78
Excess energy over the best structure of this formula in the dataset, meV/atom: 2
Total magnetic moment, μB per cell: 2.5
Total DFT energy (no corrections), eV for the cell shown: -31.7
Density of states at the Fermi level, states/eV/cell: 3.84
Symmetry: Pmm2 (25)

Entry 6:
## MnIn2Au (GGA-PBE)

Data for a relaxed MnIn2Au crystal.

abc: 4.8163 4.8163 3.4576
angles: 90.00 90.00 100.29
Last column: nearest neighbours and their distance in Å.
Fractional coordinates of all 4 atoms:
1 Au 0.0000 0.5000 0.5000  8 In 2.96, 2 Mn 3.09
2 In 0.0000 0.0000 0.0000  4 Au 2.96, 4 Mn 2.96, 2 In 3.09
3 In 0.5000 0.5000 0.0000  4 Mn 2.96, 4 Au 2.96, 2 In 3.09
4 Mn 0.5000 0.0000 0.5000  8 In 2.96, 2 Au 3.09

Output
ΔE_f, eV/f.u.: 0.31
Excess energy over the best structure of this formula in the dataset, meV/atom: 43
Total magnetic moment, μB per cell: 3.5
Total DFT energy (no corrections), eV for the cell shown: -17.6
Density of states at the Fermi level, states/eV/cell: 1.49
Symmetry: Cmmm (65)

Entry 7:
## K3Ni (GGA-PBE)

Data for a relaxed K3Ni crystal.

abc: 8.3594 8.3594 5.5621
angles: 90.00 90.00 120.00
Last column: nearest neighbours and their distance in Å.
Fractional coordinates of all 8 atoms:
1 K 0.8138 0.6275 0.2500  2 Ni 3.50, 6 K 3.69-3.87
2 K 0.3725 0.1862 0.2500  2 Ni 3.50, 6 K 3.69-3.87
3 K 0.8138 0.1862 0.2500  2 Ni 3.50, 6 K 3.69-3.87
4 K 0.1862 0.3725 0.7500  2 Ni 3.50, 6 K 3.69-3.87
5 K 0.6275 0.8138 0.7500  2 Ni 3.50, 6 K 3.69-3.87
6 K 0.1862 0.8138 0.7500  2 Ni 3.50, 6 K 3.69-3.87
7 Ni 0.3333 0.6667 0.2500  6 K 3.50
8 Ni 0.6667 0.3333 0.7500  6 K 3.50

Output
ΔE_f, eV/f.u.: 2.25
Excess energy over the best structure of this formula in the dataset, meV/atom: 49
Total magnetic moment, μB per cell: 0.5
Total DFT energy (no corrections), eV for the cell shown: -13.6
Density of states at the Fermi level, states/eV/cell: 21.91
Symmetry: P6_3/mmc (194)

Entry 8:
## Ce2Zn17 (GGA-PBE)

Data for a relaxed Ce2Zn17 crystal.

abc: 9.0319 9.0319 8.8415
angles: 90.00 90.00 120.00
Last column: nearest neighbours and their distance in Å.
Fractional coordinates of all 38 atoms:
1 Ce 0.3333 0.6667 0.7500  20 Zn 3.11-3.42
2 Ce 0.6667 0.3333 0.2500  20 Zn 3.11-3.42
3 Ce 0.0000 0.0000 0.2500  18 Zn 3.18-3.49
4 Ce 0.0000 0.0000 0.7500  18 Zn 3.18-3.49
5 Zn 0.3295 0.9592 0.2500  8 Zn 2.61-2.76
6 Zn 0.6705 0.0408 0.7500  8 Zn 2.61-2.76
7 Zn 0.0408 0.3702 0.2500  8 Zn 2.61-2.76
8 Zn 0.6298 0.6705 0.2500  8 Zn 2.61-2.76
9 Zn 0.3703 0.3295 0.7500  8 Zn 2.61-2.76
10 Zn 0.9592 0.6297 0.7500  8 Zn 2.61-2.76
11 Zn 0.3703 0.0408 0.7500  8 Zn 2.61-2.76
12 Zn 0.6705 0.6298 0.7500  8 Zn 2.61-2.76
13 Zn 0.9592 0.3295 0.7500  8 Zn 2.61-2.76
14 Zn 0.0408 0.6705 0.2500  8 Zn 2.61-2.76
15 Zn 0.3295 0.3702 0.2500  8 Zn 2.61-2.76
16 Zn 0.6298 0.9592 0.2500  8 Zn 2.61-2.76
17 Zn 0.5000 0.0000 0.0000  10 Zn 2.61-2.76
18 Zn 0.5000 0.0000 0.5000  10 Zn 2.61-2.76
19 Zn 0.0000 0.5000 0.0000  10 Zn 2.61-2.76
20 Zn 0.5000 0.5000 0.0000  10 Zn 2.61-2.76
21 Zn 0.5000 0.5000 0.5000  10 Zn 2.61-2.76
22 Zn 0.0000 0.5000 0.5000  10 Zn 2.61-2.76
23 Zn 0.3333 0.6667 0.1013  7 Zn 2.63-2.89
24 Zn 0.6667 0.3333 0.6013  7 Zn 2.63-2.89
25 Zn 0.6667 0.3334 0.8987  7 Zn 2.63-2.89
26 Zn 0.3333 0.6667 0.3987  7 Zn 2.63-2.89
27 Zn 0.1620 0.3239 0.9783  8 Zn 2.56-2.76
28 Zn 0.8380 0.6761 0.4782  8 Zn 2.56-2.76
29 Zn 0.6761 0.8380 0.9783  8 Zn 2.56-2.76
30 Zn 0.1620 0.8380 0.9782  8 Zn 2.56-2.76
31 Zn 0.8380 0.1620 0.4782  8 Zn 2.56-2.76
32 Zn 0.3239 0.1620 0.4782  8 Zn 2.56-2.76
33 Zn 0.8380 0.6760 0.0217  8 Zn 2.56-2.76
34 Zn 0.8380 0.1620 0.0218  8 Zn 2.56-2.76
35 Zn 0.3239 0.1620 0.0217  8 Zn 2.56-2.76
36 Zn 0.6761 0.8380 0.5217  8 Zn 2.56-2.76
37 Zn 0.1620 0.8380 0.5218  8 Zn 2.56-2.76
38 Zn 0.1620 0.3239 0.5218  8 Zn 2.56-2.76

Output
ΔE_f, eV/f.u.: -4.19
Excess energy over the best structure of this formula in the dataset, meV/atom: 3
Total magnetic moment, μB per cell: 3.2
Total DFT energy (no corrections), eV for the cell shown: -75.4
Density of states at the Fermi level, states/eV/cell: 29.47
Symmetry: P6_3/mmc (194)

Entry 9:
## Cs3Ag2AuBr9 (GGA-PBE)

Data for a relaxed Cs3Ag2AuBr9 crystal.

abc: 7.7579 7.7579 9.5029
angles: 90.00 90.00 120.00
Last column: nearest neighbours and their distance in Å.
Fractional coordinates of all 15 atoms:
1 Cs 0.3333 0.6667 0.6730  12 Br 3.83-3.91
2 Cs 0.0000 0.0000 0.0000  12 Br 3.88-3.90
3 Cs 0.6667 0.3333 0.3270  12 Br 3.83-3.91
4 Ag 0.3333 0.6667 0.1670  6 Br 2.74-2.79
5 Ag 0.6667 0.3333 0.8330  6 Br 2.74-2.79
6 Au 0.0000 0.0000 0.5000  6 Br 2.70
7 Br 0.8351 0.1649 0.6621  1 Au 2.70, 1 Ag 2.79
8 Br 0.8351 0.6703 0.6621  1 Au 2.70, 1 Ag 2.79
9 Br 0.3297 0.1649 0.6621  1 Au 2.70, 1 Ag 2.79
10 Br 0.6703 0.8351 0.3379  1 Au 2.70, 1 Ag 2.79
11 Br 0.1649 0.3297 0.3379  1 Au 2.70, 1 Ag 2.79
12 Br 0.1649 0.8351 0.3379  1 Au 2.70, 1 Ag 2.79
13 Br 0.5000 0.0000 0.0000  2 Ag 2.74
14 Br 0.0000 0.5000 0.0000  2 Ag 2.74
15 Br 0.5000 0.5000 0.0000  2 Ag 2.74

Output
ΔE_f (raw), meV per atom: -883.1
Total magnetic moment, μB per cell: 0.0
Total DFT energy (no corrections), eV for the cell shown: -39.8
Density of states at the Fermi level, states/eV/cell: 5.02
Symmetry: P-3m1 (164)

Entry 10:
## SrNiBr2 (GGA-PBE)

Data for a relaxed SrNiBr2 crystal.

abc: 5.6601 5.6601 8.2677
angles: 69.98 69.98 90.00
Last column: nearest neighbours and their distance in Å.
Fractional coordinates of all 8 atoms:
1 Sr 0.0000 0.0000 0.0000  4 Br 2.96
2 Sr 0.7500 0.2500 0.5000  4 Br 2.96
3 Br 0.5448 0.1250 0.2500  2 Ni 2.49
4 Br 0.2052 0.6250 0.2500  2 Ni 2.49
5 Br 0.3750 0.4552 0.7500  2 Ni 2.49
6 Br 0.8750 0.7948 0.7500  2 Ni 2.49
7 Ni 0.5000 0.5000 0.0000  4 Br 2.49
8 Ni 0.2500 0.7500 0.5000  4 Br 2.49

Output
ΔE_f (raw), meV per atom: -743.0
Excess energy over the best structure of this formula in the dataset, meV/atom: 253
Total magnetic moment, μB per cell: 0.0
Total DFT energy (no corrections), eV for the cell shown: -27.6
Density of states at the Fermi level, states/eV/cell: 4.28
Symmetry: I-42d (122)

Entry 11:
## Er3AlCd2 (GGA-PBE)

Data for a relaxed Er3AlCd2 crystal.

abc: 3.6362 3.6362 11.1813
angles: 90.00 90.00 90.00
Last column: nearest neighbours and their distance in Å.
Fractional coordinates of all 6 atoms:
1 Er 0.0000 0.0000 0.0000  8 Cd 3.20
2 Er 0.0000 0.0000 0.6570  4 Al 3.11, 4 Cd 3.22
3 Er 0.0000 0.0000 0.3430  4 Al 3.11, 4 Cd 3.22
4 Al 0.5000 0.5000 0.5000  8 Er 3.11
5 Cd 0.5000 0.5000 0.8297  8 Er 3.20-3.22
6 Cd 0.5000 0.5000 0.1703  8 Er 3.20-3.22

Output
ΔE_f, eV/f.u.: -2.04
Excess energy over the best structure of this formula in the dataset, meV/atom: 0
Total magnetic moment, μB per cell: 0.0
Total DFT energy (no corrections), eV for the cell shown: -21.3
Density of states at the Fermi level, states/eV/cell: 5.64
Symmetry: P4/mmm (123)

Entry 12:
## Dy4HoS5 (GGA-PBE)

Data for a relaxed Dy4HoS5 crystal.

abc: 3.9046 5.5073 10.3221
angles: 105.47 100.90 90.00
Last column: nearest neighbours and their distance in Å.
Fractional coordinates of all 10 atoms:
1 Dy 0.3999 0.3999 0.7999  6 S 2.75-2.76
2 Dy 0.8003 0.8003 0.6005  6 S 2.75-2.77
3 Dy 0.1997 0.1997 0.3995  6 S 2.75-2.77
4 Dy 0.6001 0.6001 0.2001  6 S 2.75-2.76
5 Ho 0.0000 0.0000 0.0000  6 S 2.75
6 S 0.5993 0.0993 0.1986  2 Ho 2.75, 4 Dy 2.75-2.77
7 S 0.7999 0.2999 0.5998  6 Dy 2.75-2.76
8 S 0.2001 0.7001 0.4002  6 Dy 2.75-2.76
9 S 0.0000 0.5000 0.0000  2 Ho 2.75, 4 Dy 2.76
10 S 0.4007 0.9007 0.8014  2 Ho 2.75, 4 Dy 2.75-2.77

Output
ΔE_f (raw), meV per atom: -1985.7
Total magnetic moment, μB per cell: 0.0
Total DFT energy (no corrections), eV for the cell shown: -63.5
Density of states at the Fermi level, states/eV/cell: 4.36
Symmetry: Immm (71)

Entry 13:
## Rb12CdAu6 (GGA-PBE)

Data for a relaxed Rb12CdAu6 crystal.

abc: 10.7632 10.7632 10.7632
angles: 109.47 109.47 109.47
Last column: nearest neighbours and their distance in Å.
Fractional coordinates of all 19 atoms:
1 Rb 0.3118 0.1329 0.8211  3 Au 3.46-3.54
2 Rb 0.3118 0.4907 0.1789  3 Au 3.46-3.54
3 Rb 0.6882 0.5093 0.8211  3 Au 3.46-3.54
4 Rb 0.6882 0.8671 0.1789  3 Au 3.46-3.54
5 Rb 0.1329 0.8211 0.3118  3 Au 3.46-3.54
6 Rb 0.4907 0.1789 0.3118  3 Au 3.46-3.54
7 Rb 0.5093 0.8211 0.6882  3 Au 3.46-3.54
8 Rb 0.8671 0.1789 0.6882  3 Au 3.46-3.54
9 Rb 0.8211 0.3118 0.1329  3 Au 3.46-3.54
10 Rb 0.1789 0.3118 0.4907  3 Au 3.46-3.54
11 Rb 0.8211 0.6882 0.5093  3 Au 3.46-3.54
12 Rb 0.1789 0.6882 0.8671  3 Au 3.46-3.54
13 Cd 0.0000 0.0000 0.0000  12 Rb 4.47
14 Au 0.3838 0.5000 0.8838  1 Au 2.89
15 Au 0.6162 0.5000 0.1162  1 Au 2.89
16 Au 0.5000 0.8838 0.3838  1 Au 2.89
17 Au 0.5000 0.1162 0.6162  1 Au 2.89
18 Au 0.8838 0.3838 0.5000  1 Au 2.89
19 Au 0.1162 0.6162 0.5000  1 Au 2.89

Output
ΔE_f, eV/f.u.: -3.60
Total magnetic moment, μB per cell: 0.0
Total DFT energy (no corrections), eV for the cell shown: -35.8
Density of states at the Fermi level, states/eV/cell: 7.27
Symmetry: Im-3 (204)

Entry 14:
## LuMgAu2 (GGA-PBE)

Data for a relaxed LuMgAu2 crystal.

abc: 4.8451 4.8451 4.8428
angles: 60.02 60.02 59.98
Last column: nearest neighbours and their distance in Å.
Fractional coordinates of all 4 atoms:
1 Mg 0.2499 0.2499 0.7501  8 Au 2.97
2 Lu 0.7501 0.7501 0.2499  8 Au 2.97
3 Au 0.0000 0.0000 0.5000  4 Mg 2.97, 4 Lu 2.97
4 Au 0.5000 0.5000 0.0000  4 Lu 2.97, 4 Mg 2.97

Output
ΔE_f, eV/f.u.: -3.17
Total magnetic moment, μB per cell: 0.0
Total DFT energy (no corrections), eV for the cell shown: -15.8
Density of states at the Fermi level, states/eV/cell: 2.31
Symmetry: Fm-3m (225)

Entry 15:
## Al2AgIr (GGA-PBE)

Data for a relaxed Al2AgIr crystal.

abc: 2.9346 3.2702 6.3466
angles: 90.00 90.00 90.00
Last column: nearest neighbours and their distance in Å.
Fractional coordinates of all 4 atoms:
1 Ir 0.5000 0.5000 0.2500  8 Al 2.62
2 Al 0.0000 0.0000 0.0256  4 Ir 2.62, 4 Ag 2.81, 1 Al 2.85
3 Al 0.0000 0.0000 0.4744  4 Ir 2.62, 4 Ag 2.81, 1 Al 2.85
4 Ag 0.5000 0.5000 0.7500  8 Al 2.81, 2 Ag 2.93

Output
ΔE_f, eV/f.u.: -1.82
Total magnetic moment, μB per cell: 0.0
Total DFT energy (no corrections), eV for the cell shown: -21.0
Density of states at the Fermi level, states/eV/cell: 1.44
Symmetry: Pmmm (47)

Entry 16:
## TaW2N (GGA-PBE)

Data for a relaxed TaW2N crystal.

abc: 3.1508 3.1508 11.1936
angles: 90.00 90.00 90.00
Last column: nearest neighbours and their distance in Å.
Fractional coordinates of all 8 atoms:
1 Ta 0.0000 0.0000 0.5000  4 N 2.23
2 Ta 0.5000 0.5000 0.0000  4 N 2.23
3 W 0.0000 0.0000 0.1849  1 N 2.07
4 W 0.0000 0.0000 0.8151  1 N 2.07
5 W 0.5000 0.5000 0.6849  1 N 2.07
6 W 0.5000 0.5000 0.3151  1 N 2.07
7 N 0.0000 0.0000 0.0000  2 W 2.07, 4 Ta 2.23
8 N 0.5000 0.5000 0.5000  2 W 2.07, 4 Ta 2.23

Output
ΔE_f (raw), meV per atom: -352.4
Total magnetic moment, μB per cell: 0.0
Total DFT energy (no corrections), eV for the cell shown: -95.0
Density of states at the Fermi level, states/eV/cell: 5.70
Symmetry: I4/mmm (139)